No. 1
SiSnSb2 | SCAN | PBEsol geometry

SG: No. 122
Uncorrected energy, eV per atom: -29.803
Formation energy from raw total energies, eV per atom: 0.312

The structure in CIF format:
```
data_SiSnSb2
_cell_length_a 6.4484
_cell_length_b 6.4484
_cell_length_c 6.4484
_cell_angle_alpha 102.95
_cell_angle_beta 102.95
_cell_angle_gamma 123.49
_symmetry_space_group_name_H-M 'P 1'
_symmetry_Int_Tables_number 1
loop_
_symmetry_equiv_pos_as_xyz
'x,y,z'
loop_
_atom_site_label
_atom_site_fract_x
_atom_site_fract_y
_atom_site_fract_z
Si1 0.0000 0.0000 0.0000
Si2 0.7500 0.2500 0.5000
Sn1 0.2500 0.7500 0.5000
Sn2 0.5000 0.5000 0.0000
Sb1 0.1010 0.1250 0.4760
Sb2 0.3750 0.8990 0.0240
Sb3 0.6490 0.6250 0.5240
Sb4 0.8750 0.3510 0.9760
```

---

No. 2
Sr2SiSb | SCAN | PBEsol geometry

SG: No. 139
Uncorrected energy, eV per atom: -23.482
Distance to the lowest polymorph of the same formula, meV/atom: 0.0
Formation energy from raw total energies, eV per atom: -0.526

The structure in CIF format:
```
data_Sr2SiSb
_cell_length_a 5.7132
_cell_length_b 5.7132
_cell_length_c 5.7132
_cell_angle_alpha 127.70
_cell_angle_beta 127.70
_cell_angle_gamma 77.11
_symmetry_space_group_name_H-M 'P 1'
_symmetry_Int_Tables_number 1
loop_
_symmetry_equiv_pos_as_xyz
'x,y,z'
loop_
_atom_site_label
_atom_site_fract_x
_atom_site_fract_y
_atom_site_fract_z
Sr1 0.2500 0.7500 0.5000
Sr2 0.7500 0.2500 0.5000
Si1 0.0000 0.0000 0.0000
Sb1 0.5000 0.5000 0.0000
```

---

Number 1 is which compound?
SiSnSb2

---

uncorrected energy of number 2 (Sr2SiSb)?
-23.482 eV per atom

---

Which value of uncorrected energy does entry 1 give?
-29.803 eV per atom

---

Repeat the first record exactly.
SiSnSb2 | SCAN | PBEsol geometry

SG: No. 122
Uncorrected energy, eV per atom: -29.803
Formation energy from raw total energies, eV per atom: 0.312

The structure in CIF format:
```
data_SiSnSb2
_cell_length_a 6.4484
_cell_length_b 6.4484
_cell_length_c 6.4484
_cell_angle_alpha 102.95
_cell_angle_beta 102.95
_cell_angle_gamma 123.49
_symmetry_space_group_name_H-M 'P 1'
_symmetry_Int_Tables_number 1
loop_
_symmetry_equiv_pos_as_xyz
'x,y,z'
loop_
_atom_site_label
_atom_site_fract_x
_atom_site_fract_y
_atom_site_fract_z
Si1 0.0000 0.0000 0.0000
Si2 0.7500 0.2500 0.5000
Sn1 0.2500 0.7500 0.5000
Sn2 0.5000 0.5000 0.0000
Sb1 0.1010 0.1250 0.4760
Sb2 0.3750 0.8990 0.0240
Sb3 0.6490 0.6250 0.5240
Sb4 0.8750 0.3510 0.9760
```